# 1
TiMnCrO6 | the Alexandria database | PBE with a Hubbard U | optimized geometry; theoretical density = 4.55 g/cm³; space group = P4_2nm, No. 102; uncorrected energy = -7.79 eV/atom
1.0
4.5405 0.0000 0.0000
0.0000 4.5405 0.0000
0.0000 0.0000 8.8835
Ti Mn Cr O
2 2 2 12
Cartesian
0.0000 0.0000 0.0000
2.2703 2.2703 4.4418
0.0000 0.0000 5.8884
2.2703 2.2703 1.4466
0.0000 0.0000 2.9269
2.2703 2.2703 7.3687
0.8738 0.8738 4.4102
0.9005 0.9005 7.3590
0.9046 0.9046 1.4396
1.3657 3.1748 5.8814
1.3698 3.1708 2.9172
1.3965 3.1441 8.8520
3.1441 1.3965 8.8520
3.1708 1.3698 2.9172
3.1748 1.3657 5.8814
3.6360 3.6360 1.4396
3.6401 3.6401 7.3590
3.6668 3.6668 4.4102

=====

# 2
Mn3TlCr4O12 | the Alexandria database | PBE with a Hubbard U | optimized geometry; theoretical density = 6.03 g/cm³; space group = Im-3, No. 204; uncorrected energy = -7.33 eV/atom
1.0
-3.7543 3.7543 3.7543
3.7543 -3.7543 3.7543
3.7543 3.7543 -3.7543
Mn Tl Cr O
3 1 4 12
Cartesian
3.7543 0.0000 0.0000
0.0000 3.7543 0.0000
0.0000 0.0000 3.7543
0.0000 0.0000 0.0000
1.8771 1.8771 -1.8771
1.8771 -1.8771 1.8771
-1.8771 1.8771 1.8771
1.8771 1.8771 1.8771
3.7543 2.4234 -1.4235
2.3308 0.0000 1.3308
5.1777 0.0000 1.3308
1.3308 2.3308 0.0000
2.4234 -1.4235 3.7543
0.0000 1.3308 2.3308
3.7543 2.4234 1.4235
1.3308 5.1777 0.0000
2.4234 1.4235 3.7543
-1.4235 3.7543 2.4234
1.4235 3.7543 2.4234
0.0000 1.3308 5.1777

=====

# 3
UMnCrO6 | the Alexandria database | PBE with a Hubbard U | optimized geometry; theoretical density = 6.77 g/cm³; space group = P-31c, No. 163; uncorrected energy = -8.45 eV/atom
1.0
5.2795 0.0000 0.0000
-2.6397 4.5721 0.0000
0.0000 0.0000 8.9620
U Mn Cr O
2 2 2 12
Cartesian
0.0000 3.0481 2.2405
2.6397 1.5240 6.7215
0.0000 0.0000 0.0000
0.0000 0.0000 4.4810
0.0000 3.0481 6.7215
2.6397 1.5240 2.2405
-0.8549 1.5588 5.6454
-1.7172 3.0524 7.7977
0.8549 1.5588 7.7977
-0.8623 4.5331 5.6454
1.7774 0.0391 1.1643
0.9226 1.5198 3.3167
1.7172 3.0524 5.6454
0.8623 4.5331 7.7977
3.5020 0.0391 3.3167
1.7849 3.0133 1.1643
4.3569 1.5198 1.1643
3.4946 3.0133 3.3167

=====

# 4
UMnCr2O6 | the Alexandria database | PBE with a Hubbard U | optimized geometry; theoretical density = 6.62 g/cm³; space group = P1, No. 1; uncorrected energy = -8.58 eV/atom
1.0
5.3057 0.0000 0.0000
2.6341 4.8171 0.0000
0.0063 2.9427 4.8410
U Mn Cr O
1 1 2 6
Cartesian
0.0000 0.0000 0.0000
5.2632 6.2515 2.4589
2.6602 4.6331 4.2583
5.3042 3.1279 1.8890
1.0550 1.7000 0.8730
1.5677 3.1194 3.3101
3.5925 3.0109 0.8134
4.4767 4.3957 3.2983
6.0756 4.7467 1.0036
7.2123 6.5232 3.2304

=====

# 5
MnVCr2O6 | the Alexandria database | PBE with a Hubbard U | optimized geometry; theoretical density = 4.82 g/cm³; space group = P1, No. 1; uncorrected energy = -7.85 eV/atom
1.0
5.0787 0.0000 0.0000
2.4885 4.4899 0.0000
2.4676 1.5474 4.6228
Mn V Cr O
1 1 2 6
Cartesian
0.0000 0.0000 0.0000
5.0105 3.0107 2.3374
2.5146 1.5185 0.5167
7.5261 4.5316 2.8182
3.4748 3.0887 3.7472
3.9814 4.5400 1.4472
5.7773 4.3144 3.7494
4.2153 1.4312 1.5531
5.7482 1.6773 3.7808
6.7773 3.1502 1.4477

=====

# 6
MnV2CrO8 | the Alexandria database | PBE with a Hubbard U | optimized geometry; theoretical density = 4.02 g/cm³; space group = I-4m2, No. 119; uncorrected energy = -7.39 eV/atom
1.0
-3.2868 3.2868 3.2159
3.2868 -3.2868 3.2159
3.2868 3.2868 -3.2159
Mn V Cr O
1 2 1 8
Cartesian
0.0000 0.0000 0.0000
3.2868 0.0000 1.6079
0.0000 0.0000 3.2159
0.0000 3.2868 1.6079
1.9597 0.0000 0.4772
4.6138 0.0000 0.4772
3.2868 1.9192 -1.0856
3.2868 -1.3270 2.7387
0.0000 1.3676 2.1303
3.2868 1.3270 2.7387
1.9192 3.2868 1.0856
1.3676 0.0000 4.3015

=====

# 7
Mn2VCrO6 | the Alexandria database | PBE with a Hubbard U | optimized geometry; theoretical density = 4.77 g/cm³; space group = P1, No. 1; uncorrected energy = -7.76 eV/atom
1.0
5.0999 0.0000 0.0000
2.4951 4.5583 0.0000
2.3873 1.5987 4.6244
Mn V Cr O
2 1 1 6
Cartesian
0.0000 0.0000 0.0000
5.0012 3.0722 2.4393
7.5382 4.6483 2.9100
2.5218 1.5228 0.6396
3.9114 4.3988 3.9644
3.2179 3.1501 1.5967
4.3170 1.6984 3.8061
5.9937 4.6388 1.6312
6.4100 3.2636 3.8505
5.9018 1.3235 1.6345

=====

# 8
MnVCr2O8 | the Alexandria database | PBE with a Hubbard U | optimized geometry; theoretical density = 4.61 g/cm³; space group = P2/m, No. 10; uncorrected energy = -7.44 eV/atom
1.0
4.5383 0.0000 0.0000
0.0000 5.9031 0.0000
-0.0574 0.0000 4.5451
Mn V Cr O
1 1 2 8
Cartesian
0.0000 0.0000 0.0000
0.0000 2.9515 0.0000
2.2404 1.4727 2.2726
2.2404 4.4304 2.2726
0.8233 1.5161 3.6816
0.8233 4.3869 3.6816
1.3404 2.9515 1.3665
1.3433 0.0000 1.3708
3.1376 0.0000 3.1743
3.1404 2.9515 3.1786
3.6576 1.5161 0.8635
3.6576 4.3869 0.8635